1.
## PuThPdAu (PBE)

Data for an optimized crystal structure of PuThPdAu.

Lattice parameters (Å, degrees): 5.140 5.140 5.140 60.00 60.00 60.00
Last column: magnetic moment on the atom in μB.
Positions (direct):
Au 0.000 0.000 0.000  0.01
Pd 0.500 0.500 0.500  -0.02
Th 0.250 0.250 0.250  0.19
Pu 0.750 0.750 0.750  5.37

As for the symmetry: F-43m (216). As for the crystal system: cubic. As for the relative energy among the computed polymorphs: 52 meV/atom.

2.
## Pm9SmTh2 (PBE)

Data for an optimized crystal structure of Pm9SmTh2.

Lattice parameters (Å, degrees): 5.134 5.134 15.424 90.00 90.00 90.00
Positions (direct):
Pm 0.500 0.500 0.000
Pm 0.500 0.500 0.334
Pm 0.500 0.500 0.666
Pm 0.500 0.000 0.170
Pm 0.500 0.000 0.500
Pm 0.500 0.000 0.830
Pm 0.000 0.500 0.170
Pm 0.000 0.500 0.500
Pm 0.000 0.500 0.830
Sm 0.000 0.000 0.000
Th 0.000 0.000 0.334
Th 0.000 0.000 0.666

As for the symmetry: P4/mmm (123). For the uncorrected energy, the calculation gives -61.8 eV/cell. As for the crystal system: tetragonal.

3.
## P2PbNCl (PBE)

Data for an optimized crystal structure of P2PbNCl.

Lattice parameters (Å, degrees): 4.142 4.142 7.043 90.00 90.00 90.00
Positions (direct):
Pb 0.500 0.500 0.500
P 0.000 0.500 0.000
P 0.500 0.000 0.000
N 0.000 0.000 0.000
Cl 0.000 0.000 0.500

The formation energy from raw total energies is 0.705 eV per atom. As for the symmetry: P4/mmm (123). As for the crystal system: tetragonal. As for the relative energy among the computed polymorphs: 0 meV/atom.

4.
## ScTiPb (PBE)

Data for an optimized crystal structure of ScTiPb.

Lattice parameters (Å, degrees): 4.165 4.165 7.712 90.00 90.00 90.00
Last column: magnetic moment on the atom in μB.
Positions (direct):
Sc 0.000 0.500 0.827  -0.04
Sc 0.500 0.000 0.173  -0.04
Ti 0.500 0.500 0.500  0.26
Ti 0.000 0.000 0.500  0.26
Pb 0.000 0.500 0.224  0.00
Pb 0.500 0.000 0.776  0.00

As for the symmetry: P4/nmm (129). As for the crystal system: tetragonal. As for the relative energy among the computed polymorphs: 0 meV/atom.

Computed DOS(E_F) (states/eV per cell) in order:
11.7; 15.7; 5.0; 5.4